Below is a relaxed Nd8SnTe6 crystal, with properties calculated at the PBE level.

Output
Total magnetic moment, Bohr magnetons per cell: 0.0
Formation energy (no corrections), eV/atom: -1.04

a b c (Å): 11.3490 11.3490 4.4640
angles (deg): 90.00 90.00 120.00
Space group P-3 (No. 147)
Unique sites:
Nd (0.0328, 0.7308, 0.2538) x6
Nd (0.3333, 0.6667, 0.7488) x2
Sn (0.0000, 0.0000, 0.5000) x1
Te (0.1248, 0.4792, 0.2511) x6